Record 1
Here is a relaxed structure of SrHfCoI2 from Alexandria via LeMat-Bulk. Energies are from PBE-GGA.

Structure (extended XYZ):
```
5
Lattice="-5.3422 -1.1798 1.6829 -0.2867 -3.5670 -3.4107 2.0283 -3.7833 3.7862" Properties=species:S:1:pos:R:3 pbc="T T T"
I 1.0141 -1.8916 1.8931
I -2.6711 -0.5899 0.8414
Hf -1.8003 -4.2651 1.0292
Sr 0.0000 0.0000 0.0000
Co -0.1433 -1.7835 -1.7054
```

Output
Uncorrected formation energy in eV per formula unit: 5.82
VASP energy in Ry per atom: -0.236
Crystal system: tetragonal

Record 2
Here is a relaxed structure of Li2PRu from Alexandria via LeMat-Bulk. Energies are from PBE-GGA.

Structure (extended XYZ):
```
4
Lattice="3.4925 0.0000 0.0000 0.0000 3.4925 0.0000 0.0000 0.0000 4.1162" Properties=species:S:1:pos:R:3 pbc="T T T"
Li 1.7463 1.7463 0.0000
Li 0.0000 0.0000 0.0000
Ru 0.0000 1.7463 2.0581
P 1.7463 0.0000 2.0581
```

Output
Calculated formation energy in eV/atom: -0.261
VASP energy in Ry per atom: -0.359
Crystal system: tetragonal

Number 1: theoretical density 5.93 g/cm3, volume 161.96 Å³ per cell, magnetization 0.85 μB/f.u.. Number 2: theoretical density 4.83 g/cm3, volume 50.21 Å³ per cell, magnetization 0.21 μB/f.u..